[1]
Density functional theory data (PBE) for an optimized crystal structure of Zn2TcAg.

Values from the calculation:
Energy above the lowest structure with this stoichiometry (meV/atom): 323.2
Crystal system: cubic
ρ (g/cm³): 9.1
Raw total energy (eV/atom): -3.553

```
4
Lattice="0.000 3.138 3.138 3.138 0.000 3.138 3.138 3.138 0.000" Properties=species:S:1:pos:R:3 pbc="T T T"
Zn 0.000 0.000 0.000
Zn 1.569 1.569 1.569
Tc 4.706 4.706 4.706
Ag 3.138 3.138 3.138
```

***

[2]
Density functional theory data (PBE) for an optimized crystal structure of LaHo2ScTl4.

Values from the calculation:
Crystal system: trigonal
ρ (g/cm³): 10.1
Raw total energy (eV/atom): -4.047

```
8
Lattice="2.677 1.546 8.859 -2.677 1.546 8.859 0.000 -3.091 8.859" Properties=species:S:1:pos:R:3 pbc="T T T"
La 0.000 0.000 0.000
Ho 0.000 0.000 6.590
Ho 0.000 0.000 19.988
Sc 0.000 0.000 13.289
Tl 0.000 0.000 3.415
Tl 0.000 0.000 10.088
Tl 0.000 0.000 16.490
Tl 0.000 0.000 23.163
```

***

[3]
Density functional theory data (PBE) for an optimized crystal structure of Li3Cd4Ga.

Values from the calculation:
Energy above the lowest structure with this stoichiometry (meV/atom): 15.2
Crystal system: triclinic
ρ (g/cm³): 5.7
Raw total energy (eV/atom): -1.694

```
8
Lattice="3.146 0.000 0.000 -0.008 4.277 0.000 -1.528 -1.992 11.732" Properties=species:S:1:pos:R:3 pbc="T T T"
Li 0.000 0.000 0.000
Li 0.003 2.184 3.510
Li 1.606 0.101 8.222
Cd 0.018 2.218 6.636
Cd 0.033 2.251 9.544
Cd 1.576 0.034 2.188
Cd 1.591 0.067 5.095
Ga 1.569 2.138 0.000
```

***

no.,energy relative to the elements (eV/atom),density of states at the Fermi level (states/eV/cell)
1,0.39,3.92
2,-0.31,6.87
3,-0.14,2.60